[1]
# Co4NiIr2

A relaxed structure of Co4NiIr2 (GGA-PBE, Alexandria via LeMat-Bulk).

The structure in POSCAR format:
```
Co4NiIr2
1.0
-2.5391 2.5391 3.6013
2.5391 -2.5391 3.6013
2.5391 2.5391 -3.6013
Co Ni Ir
4 1 2
Direct
0.0000 0.0000 0.5000 Co
0.0000 0.5000 0.0000 Co
0.5000 0.0000 0.0000 Co
0.5000 0.5000 0.5000 Co
0.0000 0.0000 0.0000 Ni
0.0000 0.5000 0.5000 Ir
0.5000 0.0000 0.5000 Ir
```

***

[2]
# Al2ZnCo5B2

A relaxed structure of Al2ZnCo5B2 (GGA-PBE, Alexandria via LeMat-Bulk).

The structure in POSCAR format:
```
Al2ZnCo5B2
1.0
8.5835 0.0000 0.0000
0.0000 8.5835 0.0000
0.0000 0.0000 2.7902
Al Zn Co B
4 2 10 4
Direct
0.1764 0.3236 0.0000 Al
0.3236 0.8236 0.0000 Al
0.6764 0.1764 0.0000 Al
0.8236 0.6764 0.0000 Al
0.0000 0.0000 0.0000 Zn
0.5000 0.5000 0.0000 Zn
0.0000 0.5000 0.5000 Co
0.0703 0.7810 0.5000 Co
0.2190 0.0703 0.5000 Co
0.2810 0.5703 0.5000 Co
0.4297 0.2810 0.5000 Co
0.5000 0.0000 0.5000 Co
0.5703 0.7190 0.5000 Co
0.7190 0.4297 0.5000 Co
0.7810 0.9297 0.5000 Co
0.9297 0.2190 0.5000 Co
0.1240 0.6240 0.0000 B
0.3760 0.1240 0.0000 B
0.6240 0.8760 0.0000 B
0.8760 0.3760 0.0000 B
```

***

[3]
SmY5, relaxed, DFT GGA-PBE; E above lowest polymorph = 0.000 eV/atom
1.0
2.5310 -7.5953 0.0000
2.5310 7.5953 0.0000
0.0000 0.0000 5.0639
Sm Y
1 5
Direct
0.0000 0.0000 0.0000 Sm
0.1666 0.8334 0.5000 Y
0.3332 0.6668 0.0000 Y
0.5000 0.5000 0.5000 Y
0.6668 0.3332 0.0000 Y
0.8334 0.1666 0.5000 Y

***

no.,total DFT energy (no corrections) (eV per atom)
1,-7.106
2,-6.149
3,-6.152